Entry from the Alexandria database: a relaxed structure of ZnNiPd2O (PBE with a Hubbard U).

```
ZnNiPd2O
1.0
4.8555 0.0000 0.0000
0.0000 4.8555 0.0000
0.0000 0.0000 3.5479
Zn Ni Pd O
1 1 2 1
Cartesian
0.0000 0.0000 0.0000
2.4277 2.4277 1.7740
0.0000 2.4277 0.0000
2.4277 0.0000 0.0000
0.0000 0.0000 1.7740
```

## Properties
Electronic total energy: -3.352 eV/atom
Magnetic moment: 0.385 μB/atom
Volume: 16.73 Å³/atom